(1)
A plane-wave DFT calculation with GGA-PBE was carried out for a relaxed structure of Be3Si.

Computed properties:
Energy above the most stable polymorph in this dataset in meV/atom: 139.7
Crystal system: orthorhombic
Raw formation energy in eV/atom: 0.29

Cell and atoms, written as CIF:
```
data_Be3Si
_chemical_formula_sum 'Be6 Si2'
_cell_length_a 4.504
_cell_length_b 6.758
_cell_length_c 2.650
_cell_angle_alpha 90.00
_cell_angle_beta 90.00
_cell_angle_gamma 90.00
_space_group_name_H-M_alt 'C m m m'
_space_group_IT_number 65
_space_group_name_Hall '-C 2 2'
loop_
_atom_site_label
_atom_site_fract_x
_atom_site_fract_y
_atom_site_fract_z
Be1 0.000 0.000 0.000
Be2 0.250 0.250 0.500
Si1 0.000 0.500 0.000
```

***

(2)
A plane-wave DFT calculation with GGA-PBE was carried out for a relaxed structure of Be3Si.

Computed properties:
Energy above the most stable polymorph in this dataset in meV/atom: 36.8
Crystal system: triclinic
Raw formation energy in eV/atom: 0.19

Cell and atoms, written as CIF:
```
data_Be3Si
_chemical_formula_sum 'Be6 Si2'
_cell_length_a 3.571
_cell_length_b 3.701
_cell_length_c 7.729
_cell_angle_alpha 82.34
_cell_angle_beta 76.81
_cell_angle_gamma 61.30
_space_group_name_H-M_alt 'P 1'
_space_group_IT_number 1
loop_
_space_group_symop_operation_xyz
'x,y,z'
loop_
_atom_site_label
_atom_site_fract_x
_atom_site_fract_y
_atom_site_fract_z
Be1 0.000 0.000 0.000
Be2 0.017 0.694 0.280
Be3 0.112 0.051 0.722
Be4 0.229 0.103 0.438
Be5 0.415 0.011 0.162
Be6 0.713 0.336 0.241
Si1 0.721 0.657 0.897
Si2 0.832 0.755 0.578
```

***

(3)
A plane-wave DFT calculation with GGA-PBE was carried out for a relaxed structure of BeSi.

Computed properties:
Energy above the most stable polymorph in this dataset in meV/atom: 227.5
Crystal system: hexagonal
Raw formation energy in eV/atom: 0.46

Cell and atoms, written as CIF:
```
data_BeSi
_chemical_formula_sum 'Be2 Si2'
_cell_length_a 3.6075
_cell_length_b 3.6075
_cell_length_c 4.7546
_cell_angle_alpha 90.00
_cell_angle_beta 90.00
_cell_angle_gamma 120.00
_space_group_name_H-M_alt 'P 63/m m c'
_space_group_IT_number 194
_space_group_name_Hall '-P 6c 2c'
loop_
_atom_site_label
_atom_site_fract_x
_atom_site_fract_y
_atom_site_fract_z
Be1 0.3333 0.6667 0.2500
Si1 0.0000 0.0000 0.0000
```

***

(4)
A plane-wave DFT calculation with GGA-PBE was carried out for a relaxed structure of Be3Si.

Computed properties:
Energy above the most stable polymorph in this dataset in meV/atom: 172.5
Crystal system: tetragonal
Raw formation energy in eV/atom: 0.32

Cell and atoms, written as CIF:
```
data_Be3Si
_chemical_formula_sum 'Be3 Si1'
_cell_length_a 3.100
_cell_length_b 3.100
_cell_length_c 4.347
_cell_angle_alpha 90.00
_cell_angle_beta 90.00
_cell_angle_gamma 90.00
_space_group_name_H-M_alt 'P 4/m m m'
_space_group_IT_number 123
_space_group_name_Hall '-P 4 2'
loop_
_atom_site_label
_atom_site_fract_x
_atom_site_fract_y
_atom_site_fract_z
Be1 0.000 0.000 0.000
Be2 0.500 0.500 0.248
Si1 0.000 0.000 0.500
```

***

(5)
A plane-wave DFT calculation with GGA-PBE was carried out for a relaxed structure of Be3Si5.

Computed properties:
Energy above the most stable polymorph in this dataset in meV/atom: 0.0
Crystal system: triclinic
Raw formation energy in eV/atom: 0.34

Cell and atoms, written as CIF:
```
data_Be3Si5
_chemical_formula_sum 'Be6 Si10'
_cell_length_a 5.138
_cell_length_b 6.590
_cell_length_c 7.616
_cell_angle_alpha 83.31
_cell_angle_beta 70.53
_cell_angle_gamma 69.48
_space_group_name_H-M_alt 'P 1'
_space_group_IT_number 1
loop_
_space_group_symop_operation_xyz
'x,y,z'
loop_
_atom_site_label
_atom_site_fract_x
_atom_site_fract_y
_atom_site_fract_z
Be1 0.000 0.000 0.000
Be2 0.069 0.715 0.830
Be3 0.235 0.255 0.508
Be4 0.567 0.252 0.000
Be5 0.738 0.253 0.493
Be6 0.899 0.716 0.173
Si1 0.136 0.151 0.238
Si2 0.339 0.572 0.545
Si3 0.370 0.149 0.765
Si4 0.401 0.613 0.001
Si5 0.402 0.776 0.261
Si6 0.630 0.068 0.271
Si7 0.660 0.774 0.741
Si8 0.883 0.570 0.456
Si9 0.896 0.065 0.730
Si10 0.987 0.390 0.001
```

***

(6)
A plane-wave DFT calculation with GGA-PBE was carried out for a relaxed structure of Be3Si.

Computed properties:
Energy above the most stable polymorph in this dataset in meV/atom: 0.9
Crystal system: trigonal
Raw formation energy in eV/atom: 0.15

Cell and atoms, written as CIF:
```
data_Be3Si
_chemical_formula_sum 'Be18 Si6'
_cell_length_a 3.5822
_cell_length_b 3.5822
_cell_length_c 23.6729
_cell_angle_alpha 90.00
_cell_angle_beta 90.00
_cell_angle_gamma 120.00
_space_group_name_H-M_alt 'R -3 m'
_space_group_IT_number 166
_space_group_name_Hall '-R 3 2"'
loop_
_atom_site_label
_atom_site_fract_x
_atom_site_fract_y
_atom_site_fract_z
Be1 0.0000 0.0000 0.0462
Be2 0.0000 0.0000 0.1420
Be3 0.0000 0.0000 0.3251
Si1 0.0000 0.0000 0.2337
```

***

Which formula does entry 5 have?
Be3Si5